Arrangement one

# ZrNbCl2

An optimized crystal structure of ZrNbCl2 (PBE, the Alexandria database).

Results
Total moment = 0.0 μB/f.u.

Unit cell a=9.099 b=9.099 c=9.099 alpha=19.85 beta=19.85 gamma=19.85
Fractional positions:
Zr 0.000 0.000 0.000
Nb 0.500 0.500 0.500
Cl 0.405 0.405 0.405
Cl 0.595 0.595 0.595


Arrangement two

# ZrNbCl2

An optimized crystal structure of ZrNbCl2 (PBE, the Alexandria database).

Results
Total moment = 0.0 μB/f.u.

Unit cell a=8.964 b=8.964 c=8.964 alpha=152.02 beta=152.02 gamma=39.99
Fractional positions:
Zr 0.000 0.000 0.000
Zr 0.750 0.250 0.500
Nb 0.250 0.750 0.500
Nb 0.500 0.500 0.000
Cl 0.133 0.625 0.008
Cl 0.375 0.383 0.508
Cl 0.617 0.125 0.992
Cl 0.875 0.867 0.492


Which one is most stable, and which one is least stable? arrangement one is the most stable of them, while arrangement two is the least stable.


Arrangement one

# ZrNb2Cl

An optimized crystal structure of ZrNb2Cl (PBE, the Alexandria database).

Results
Total moment = 0.0 μB/f.u.

Unit cell a=4.748 b=4.748 c=4.748 alpha=60.00 beta=60.00 gamma=60.00
Fractional positions:
Zr 0.000 0.000 0.000
Nb 0.250 0.250 0.250
Nb 0.750 0.750 0.750
Cl 0.500 0.500 0.500


Arrangement two

# ZrNb2Cl

An optimized crystal structure of ZrNb2Cl (PBE, the Alexandria database).

Results
Total moment = 0.0 μB/f.u.

Unit cell a=11.050 b=11.050 c=11.050 alpha=159.96 beta=159.96 gamma=28.50
Fractional positions:
Zr 0.000 0.000 0.000
Zr 0.750 0.250 0.500
Nb 0.120 0.625 0.995
Nb 0.375 0.370 0.495
Nb 0.630 0.125 0.005
Nb 0.875 0.880 0.505
Cl 0.250 0.750 0.500
Cl 0.500 0.500 0.000


Which one is most stable, and which one is least stable? arrangement two is the most stable of them, while arrangement one is the least stable.


Arrangement one

# Nd2ClO

An optimized crystal structure of Nd2ClO (PBE, the Alexandria database).

Results
Total moment = 0.3 μB/f.u.

Unit cell a=8.014 b=8.014 c=8.014 alpha=25.04 beta=25.04 gamma=25.04
Fractional positions:
Nd 0.000 0.000 0.000
Nd 0.142 0.142 0.142
Cl 0.572 0.572 0.572
O 0.737 0.737 0.737


Arrangement two

# Nd2ClO

An optimized crystal structure of Nd2ClO (PBE, the Alexandria database).

Results
Total moment = 0.0 μB/f.u.

Unit cell a=7.431 b=7.431 c=7.431 alpha=28.27 beta=28.27 gamma=28.27
Fractional positions:
Nd 0.231 0.231 0.231
Nd 0.769 0.769 0.769
Cl 0.000 0.000 0.000
O 0.500 0.500 0.500


Which one is most stable, and which one is least stable? arrangement two is the most stable of them, while arrangement one is the least stable.


Arrangement one

# Nd2OsCl

An optimized crystal structure of Nd2OsCl (PBE, the Alexandria database).

Results
Total moment = 0.0 μB/f.u.

Unit cell a=3.428 b=3.428 c=8.165 alpha=90.00 beta=90.00 gamma=90.00
Fractional positions:
Nd 0.000 0.000 0.217
Nd 0.000 0.000 0.783
Os 0.500 0.500 0.000
Cl 0.500 0.500 0.500


Arrangement two

# Nd2OsCl

An optimized crystal structure of Nd2OsCl (PBE, the Alexandria database).

Results
Total moment = 0.0 μB/f.u.

Unit cell a=10.154 b=10.154 c=10.154 alpha=18.82 beta=18.82 gamma=18.82
Fractional positions:
Nd 0.088 0.088 0.088
Nd 0.912 0.912 0.912
Os 0.000 0.000 0.000
Cl 0.500 0.500 0.500


Which one is most stable, and which one is least stable? arrangement one is the most stable of them, while arrangement two is the least stable.


Arrangement one

# Nd2PbCl

An optimized crystal structure of Nd2PbCl (PBE, the Alexandria database).

Results
Total moment = 0.0 μB/f.u.

Unit cell a=7.983 b=7.983 c=7.983 alpha=31.88 beta=31.88 gamma=31.88
Fractional positions:
Nd 0.000 0.000 0.000
Nd 0.175 0.175 0.175
Pb 0.588 0.588 0.588
Cl 0.417 0.417 0.417


Arrangement two

# Nd2PbCl

An optimized crystal structure of Nd2PbCl (PBE, the Alexandria database).

Results
Total moment = 0.0 μB/f.u.

Unit cell a=7.129 b=7.129 c=7.129 alpha=37.20 beta=37.20 gamma=37.20
Fractional positions:
Nd 0.246 0.246 0.246
Nd 0.754 0.754 0.754
Pb 0.000 0.000 0.000
Cl 0.500 0.500 0.500


Which one is most stable, and which one is least stable? arrangement two is the most stable of them, while arrangement one is the least stable.


Arrangement one

# PmNdCl2

An optimized crystal structure of PmNdCl2 (PBE, the Alexandria database).

Results
Total moment = 0.3 μB/f.u.

Unit cell a=9.982 b=9.982 c=9.982 alpha=21.02 beta=21.02 gamma=21.02
Fractional positions:
Pm 0.000 0.000 0.000
Nd 0.500 0.500 0.500
Cl 0.402 0.402 0.402
Cl 0.598 0.598 0.598


Arrangement two

# PmNdCl2

An optimized crystal structure of PmNdCl2 (PBE, the Alexandria database).

Results
Total moment = 0.0 μB/f.u.

Unit cell a=9.059 b=9.059 c=9.059 alpha=22.86 beta=22.86 gamma=22.86
Fractional positions:
Pm 0.000 0.000 0.000
Nd 0.165 0.165 0.165
Cl 0.583 0.583 0.583
Cl 0.749 0.749 0.749


Which one is most stable, and which one is least stable? arrangement two is the most stable of them, while arrangement one is the least stable.


Arrangement one

# PrNdCl6

An optimized crystal structure of PrNdCl6 (PBE, the Alexandria database).

Results
Total moment = 0.0 μB/f.u.

Unit cell a=7.561 b=7.561 c=7.561 alpha=54.73 beta=54.73 gamma=54.73
Fractional positions:
Pr 0.000 0.000 0.000
Nd 0.500 0.500 0.500
Cl 0.101 0.401 0.749
Cl 0.251 0.899 0.599
Cl 0.401 0.749 0.101
Cl 0.599 0.251 0.899
Cl 0.749 0.101 0.401
Cl 0.899 0.599 0.251


Arrangement two

# PrNdCl6

An optimized crystal structure of PrNdCl6 (PBE, the Alexandria database).

Results
Total moment = 0.0 μB/f.u.

Unit cell a=7.052 b=7.052 c=7.543 alpha=92.76 beta=92.76 gamma=119.83
Fractional positions:
Pr 0.000 0.000 0.000
Nd 0.000 0.000 0.500
Cl 0.001 0.291 0.265
Cl 0.291 0.001 0.265
Cl 0.291 0.291 0.774
Cl 0.709 0.709 0.226
Cl 0.709 0.999 0.735
Cl 0.999 0.709 0.735


Which one is most stable, and which one is least stable? arrangement one is the most stable of them, while arrangement two is the least stable.


Arrangement one

# RbNdCl4

An optimized crystal structure of RbNdCl4 (PBE, the Alexandria database).

Results
Total moment = 0.0 μB/f.u.

Unit cell a=7.740 b=4.375 c=19.777 alpha=90.00 beta=90.00 gamma=90.00
Fractional positions:
Rb 0.220 0.250 0.204
Rb 0.280 0.750 0.704
Rb 0.720 0.250 0.296
Rb 0.780 0.750 0.796
Nd 0.250 0.250 0.942
Nd 0.250 0.750 0.442
Nd 0.750 0.250 0.558
Nd 0.750 0.750 0.058
Cl 0.008 0.250 0.060
Cl 0.096 0.250 0.810
Cl 0.099 0.250 0.368
Cl 0.141 0.250 0.536
Cl 0.359 0.750 0.036
Cl 0.401 0.750 0.868
Cl 0.404 0.750 0.310
Cl 0.492 0.750 0.560
Cl 0.508 0.250 0.440
Cl 0.596 0.250 0.690
Cl 0.599 0.250 0.132
Cl 0.641 0.250 0.964
Cl 0.859 0.750 0.464
Cl 0.901 0.750 0.632
Cl 0.904 0.750 0.190
Cl 0.992 0.750 0.940


Arrangement two

# RbNdCl4

An optimized crystal structure of RbNdCl4 (PBE, the Alexandria database).

Results
Total moment = 0.0 μB/f.u.

Unit cell a=8.502 b=8.502 c=7.112 alpha=108.09 beta=108.09 gamma=109.83
Fractional positions:
Rb 0.141 0.859 0.750
Rb 0.859 0.141 0.250
Nd 0.493 0.507 0.250
Nd 0.507 0.493 0.750
Cl 0.183 0.298 0.800
Cl 0.249 0.554 0.438
Cl 0.298 0.183 0.300
Cl 0.446 0.751 0.062
Cl 0.554 0.249 0.938
Cl 0.702 0.817 0.700
Cl 0.751 0.446 0.562
Cl 0.817 0.702 0.200


Which one is most stable, and which one is least stable? arrangement one is the most stable of them, while arrangement two is the least stable.


Arrangement one

# RbNd2Cl8

An optimized crystal structure of RbNd2Cl8 (PBE, the Alexandria database).

Results
Total moment = 0.0 μB/f.u.

Unit cell a=8.220 b=8.220 c=5.357 alpha=90.05 beta=90.05 gamma=116.29
Fractional positions:
Rb 0.000 0.000 0.000
Nd 0.303 0.697 0.500
Nd 0.697 0.303 0.500
Cl 0.057 0.328 0.501
Cl 0.258 0.742 0.000
Cl 0.328 0.057 0.501
Cl 0.499 0.499 0.247
Cl 0.501 0.501 0.753
Cl 0.672 0.943 0.499
Cl 0.742 0.258 0.000
Cl 0.943 0.672 0.499


Arrangement two

# RbNd2Cl8

An optimized crystal structure of RbNd2Cl8 (PBE, the Alexandria database).

Results
Total moment = 1.1 μB/f.u.

Unit cell a=7.261 b=7.261 c=8.373 alpha=100.28 beta=100.28 gamma=72.69
Fractional positions:
Rb 0.000 0.000 0.000
Nd 0.323 0.323 0.539
Nd 0.677 0.677 0.461
Cl 0.039 0.653 0.668
Cl 0.215 0.215 0.797
Cl 0.347 0.961 0.332
Cl 0.444 0.444 0.289
Cl 0.556 0.556 0.711
Cl 0.653 0.039 0.668
Cl 0.785 0.785 0.203
Cl 0.961 0.347 0.332


Which one is most stable, and which one is least stable? arrangement one is the most stable of them, while arrangement two is the least stable.


Arrangement one

# Nd2RhCl

An optimized crystal structure of Nd2RhCl (PBE, the Alexandria database).

Results
Total moment = 0.0 μB/f.u.

Unit cell a=8.083 b=8.083 c=8.083 alpha=29.14 beta=29.14 gamma=29.14
Fractional positions:
Nd 0.000 0.000 0.000
Nd 0.199 0.199 0.199
Rh 0.599 0.599 0.599
Cl 0.429 0.429 0.429


Arrangement two

# Nd2RhCl

An optimized crystal structure of Nd2RhCl (PBE, the Alexandria database).

Results
Total moment = 0.0 μB/f.u.

Unit cell a=3.446 b=3.446 c=8.125 alpha=90.00 beta=90.00 gamma=90.00
Fractional positions:
Nd 0.000 0.000 0.219
Nd 0.000 0.000 0.781
Rh 0.500 0.500 0.000
Cl 0.500 0.500 0.500


Which one is most stable, and which one is least stable? arrangement one is the most stable of them, while arrangement two is the least stable.


Arrangement one

# Nd3RuCl2

An optimized crystal structure of Nd3RuCl2 (PBE, the Alexandria database).

Results
Total moment = 0.0 μB/f.u.

Unit cell a=7.920 b=7.920 c=7.920 alpha=151.18 beta=136.70 gamma=52.85
Fractional positions:
Nd 0.000 0.000 0.000
Nd 0.365 0.365 0.000
Nd 0.635 0.635 0.000
Ru 0.500 0.000 0.500
Cl 0.179 0.679 0.500
Cl 0.821 0.321 0.500


Arrangement two

# Nd3RuCl2

An optimized crystal structure of Nd3RuCl2 (PBE, the Alexandria database).

Results
Total moment = 0.0 μB/f.u.

Unit cell a=7.333 b=7.333 c=7.009 alpha=100.14 beta=100.14 gamma=115.47
Fractional positions:
Nd 0.000 0.500 0.000
Nd 0.128 0.277 0.499
Nd 0.277 0.128 0.999
Nd 0.500 0.000 0.500
Nd 0.723 0.872 0.001
Nd 0.872 0.723 0.501
Ru 0.094 0.906 0.250
Ru 0.906 0.094 0.750
Cl 0.267 0.733 0.750
Cl 0.427 0.573 0.250
Cl 0.573 0.427 0.750
Cl 0.733 0.267 0.250


Which one is most stable, and which one is least stable? arrangement one is the most stable of them, while arrangement two is the least stable.


Arrangement one

# Nd2S2Cl

An optimized crystal structure of Nd2S2Cl (PBE, the Alexandria database).

Results
Total moment = 0.0 μB/f.u.

Unit cell a=8.068 b=8.068 c=7.034 alpha=90.03 beta=90.03 gamma=33.62
Fractional positions:
Nd 0.157 0.157 0.499
Nd 0.157 0.157 0.999
Nd 0.843 0.843 0.001
Nd 0.843 0.843 0.501
S 0.320 0.320 0.252
S 0.320 0.320 0.752
S 0.680 0.680 0.248
S 0.680 0.680 0.748
Cl 0.001 0.999 0.750
Cl 0.999 0.001 0.250


Arrangement two

# Nd2S2Cl

An optimized crystal structure of Nd2S2Cl (PBE, the Alexandria database).

Results
Total moment = 0.0 μB/f.u.

Unit cell a=7.093 b=7.093 c=8.368 alpha=108.57 beta=108.57 gamma=47.00
Fractional positions:
Nd 0.013 0.013 0.247
Nd 0.335 0.335 0.928
Nd 0.665 0.665 0.072
Nd 0.987 0.987 0.753
S 0.164 0.164 0.075
S 0.490 0.490 0.759
S 0.510 0.510 0.241
S 0.836 0.836 0.925
Cl 0.154 0.154 0.598
Cl 0.846 0.846 0.402


Which one is most stable, and which one is least stable? arrangement two is the most stable of them, while arrangement one is the least stable.